# 1
NbSe2NF | PBE | optimized geometry

The structure belongs to space group P4/mmm (No. 123); the cell edges are 5.084, 5.084 and 3.999 Å and the angles 90.00°, 90.00° and 90.00°. The distinct sites, in fractional coordinates, are Nb at (0.000, 0.000, 0.000), Se at (0.000, 0.500, 0.000), N at (0.000, 0.000, 0.500) and F at (0.500, 0.500, 0.500).

The value obtained for the formation energy (no corrections) is 35 meV per atom. For the offset from the most stable computed form, the calculation gives 0.0 kJ/mol of atoms. The density of states at the Fermi level is 2.93 states/eV/cell.

# 2
NbSeN2F | PBE | optimized geometry

The structure belongs to space group P4/mmm (No. 123); the cell edges are 4.143, 4.143 and 4.058 Å and the angles 90.00°, 90.00° and 90.00°. The distinct sites, in fractional coordinates, are Nb at (0.000, 0.000, 0.000), Se at (0.500, 0.500, 0.500), N at (0.000, 0.500, 0.000) and F at (0.000, 0.000, 0.500).

The value obtained for the formation energy (no corrections) is -15 meV per atom. For the offset from the most stable computed form, the calculation gives 0.0 kJ/mol of atoms. The density of states at the Fermi level is 1.96 states/eV/cell.

# 3
NbSeN2F | PBE | optimized geometry

The structure belongs to space group P4/mmm (No. 123); the cell edges are 3.963, 3.963 and 5.389 Å and the angles 90.00°, 90.00° and 90.00°. The distinct sites, in fractional coordinates, are Nb at (0.000, 0.000, 0.000), Se at (0.000, 0.000, 0.500), N at (0.000, 0.500, 0.000) and F at (0.500, 0.500, 0.500).

The value obtained for the formation energy (no corrections) is 366 meV per atom. For the offset from the most stable computed form, the calculation gives 36.8 kJ/mol of atoms. The density of states at the Fermi level is 5.61 states/eV/cell.

# 4
NbSe2NF | PBE | optimized geometry

The structure belongs to space group P4/mmm (No. 123); the cell edges are 4.545, 4.545 and 3.789 Å and the angles 90.00°, 90.00° and 90.00°. The distinct sites, in fractional coordinates, are Nb at (0.000, 0.000, 0.000), Se at (0.000, 0.500, 0.500), N at (0.500, 0.500, 0.000) and F at (0.500, 0.500, 0.500).

The value obtained for the formation energy (no corrections) is 1040 meV per atom. For the offset from the most stable computed form, the calculation gives 97.0 kJ/mol of atoms. The density of states at the Fermi level is 2.58 states/eV/cell.

# 5
NbSeN2F | PBE | optimized geometry

The structure belongs to space group P4/mmm (No. 123); the cell edges are 4.008, 4.008 and 3.872 Å and the angles 90.00°, 90.00° and 90.00°. The distinct sites, in fractional coordinates, are Nb at (0.000, 0.000, 0.000), Se at (0.500, 0.500, 0.000), N at (0.000, 0.500, 0.500) and F at (0.500, 0.500, 0.500).

The value obtained for the formation energy (no corrections) is 1565 meV per atom. For the offset from the most stable computed form, the calculation gives 152.5 kJ/mol of atoms. The density of states at the Fermi level is 2.05 states/eV/cell.

# 6
NbSnNF2 | PBE | optimized geometry

The structure belongs to space group P4/mmm (No. 123); the cell edges are 4.308, 4.308 and 4.242 Å and the angles 90.00°, 90.00° and 90.00°. The distinct sites, in fractional coordinates, are Nb at (0.000, 0.000, 0.000), Sn at (0.500, 0.500, 0.500), N at (0.500, 0.500, 0.000) and F at (0.000, 0.500, 0.500).

The value obtained for the formation energy (no corrections) is -136 meV per atom. For the offset from the most stable computed form, the calculation gives 94.3 kJ/mol of atoms. The density of states at the Fermi level is 5.17 states/eV/cell.

# 7
NbSnNF2 | PBE | optimized geometry

The structure belongs to space group P4/mmm (No. 123); the cell edges are 4.355, 4.355 and 4.082 Å and the angles 90.00°, 90.00° and 90.00°. The distinct sites, in fractional coordinates, are Nb at (0.000, 0.000, 0.000), Sn at (0.500, 0.500, 0.500), N at (0.000, 0.000, 0.500) and F at (0.000, 0.500, 0.000).

The value obtained for the formation energy (no corrections) is -1113 meV per atom. For the offset from the most stable computed form, the calculation gives 0.0 kJ/mol of atoms. The density of states at the Fermi level is 2.70 states/eV/cell.

# 8
Sr5NbN4F2 | PBE | optimized geometry

The structure belongs to space group Amm2 (No. 38); the cell edges are 7.450, 10.196 and 6.139 Å and the angles 90.00°, 90.00° and 90.00°. The distinct sites, in fractional coordinates, are Sr at (0.000, 0.000, 0.000), Sr at (0.273, 0.176, 0.493), Nb at (0.500, 0.000, 0.004), N at (0.287, 0.000, 0.198), N at (0.500, 0.161, 0.816) and F at (0.000, 0.224, 0.801).

The value obtained for the formation energy (no corrections) is -1583 meV per atom. The density of states at the Fermi level is 3.23 states/eV/cell.

# 9
TaNbN2F | PBE | optimized geometry

The structure belongs to space group P4/mmm (No. 123); the cell edges are 4.119, 4.119 and 3.916 Å and the angles 90.00°, 90.00° and 90.00°. The distinct sites, in fractional coordinates, are Ta at (0.000, 0.000, 0.000), Nb at (0.500, 0.500, 0.500), N at (0.000, 0.500, 0.500) and F at (0.500, 0.500, 0.000).

The value obtained for the formation energy (no corrections) is 50 meV per atom. For the offset from the most stable computed form, the calculation gives 39.5 kJ/mol of atoms. The density of states at the Fermi level is 3.70 states/eV/cell.

# 10
TaNbN2F | PBE | optimized geometry

The structure belongs to space group P4/mmm (No. 123); the cell edges are 4.103, 4.103 and 3.919 Å and the angles 90.00°, 90.00° and 90.00°. The distinct sites, in fractional coordinates, are Ta at (0.000, 0.000, 0.000), Nb at (0.500, 0.500, 0.500), N at (0.000, 0.500, 0.000) and F at (0.000, 0.000, 0.500).

The value obtained for the formation energy (no corrections) is -360 meV per atom. For the offset from the most stable computed form, the calculation gives 0.0 kJ/mol of atoms. The density of states at the Fermi level is 2.77 states/eV/cell.

# 11
TaNbN2F | PBE | optimized geometry

The structure belongs to space group P4/mmm (No. 123); the cell edges are 4.242, 4.242 and 3.632 Å and the angles 90.00°, 90.00° and 90.00°. The distinct sites, in fractional coordinates, are Ta at (0.000, 0.000, 0.000), Nb at (0.500, 0.500, 0.000), N at (0.000, 0.500, 0.500) and F at (0.000, 0.000, 0.500).

The value obtained for the formation energy (no corrections) is 1193 meV per atom. For the offset from the most stable computed form, the calculation gives 149.9 kJ/mol of atoms. The density of states at the Fermi level is 3.36 states/eV/cell.

# 12
NbTcN2F | PBE | optimized geometry

The structure belongs to space group P4/mmm (No. 123); the cell edges are 4.112, 4.112 and 4.046 Å and the angles 90.00°, 90.00° and 90.00°. The distinct sites, in fractional coordinates, are Nb at (0.000, 0.000, 0.000), Tc at (0.500, 0.500, 0.500), N at (0.000, 0.500, 0.000) and F at (0.000, 0.000, 0.500).

The value obtained for the formation energy (no corrections) is 119 meV per atom. For the offset from the most stable computed form, the calculation gives 0.0 kJ/mol of atoms. The density of states at the Fermi level is 1.47 states/eV/cell.

# 13
NbTcN2F | PBE | optimized geometry

The structure belongs to space group P4/mmm (No. 123); the cell edges are 3.915, 3.915 and 3.911 Å and the angles 90.00°, 90.00° and 90.00°. The distinct sites, in fractional coordinates, are Nb at (0.000, 0.000, 0.000), Tc at (0.500, 0.500, 0.500), N at (0.000, 0.500, 0.500) and F at (0.500, 0.500, 0.000).

The value obtained for the formation energy (no corrections) is 312 meV per atom. For the offset from the most stable computed form, the calculation gives 18.6 kJ/mol of atoms. The density of states at the Fermi level is 4.08 states/eV/cell.

# 14
NbTeN2F | PBE | optimized geometry

The structure belongs to space group P4/mmm (No. 123); the cell edges are 4.184, 4.184 and 4.101 Å and the angles 90.00°, 90.00° and 90.00°. The distinct sites, in fractional coordinates, are Nb at (0.000, 0.000, 0.000), Te at (0.500, 0.500, 0.500), N at (0.000, 0.500, 0.000) and F at (0.000, 0.000, 0.500).

The value obtained for the formation energy (no corrections) is -165 meV per atom. For the offset from the most stable computed form, the calculation gives 0.0 kJ/mol of atoms. The density of states at the Fermi level is 2.19 states/eV/cell.

# 15
NbTeN2F | PBE | optimized geometry

The structure belongs to space group P4/mmm (No. 123); the cell edges are 4.159, 4.159 and 4.042 Å and the angles 90.00°, 90.00° and 90.00°. The distinct sites, in fractional coordinates, are Nb at (0.000, 0.000, 0.000), Te at (0.500, 0.500, 0.000), N at (0.000, 0.500, 0.500) and F at (0.500, 0.500, 0.500).

The value obtained for the formation energy (no corrections) is 1603 meV per atom. For the offset from the most stable computed form, the calculation gives 170.6 kJ/mol of atoms. The density of states at the Fermi level is 2.71 states/eV/cell.

Number 1: E -27.1 eV for the cell shown, spin magnetization 2.6 Bohr magnetons per cell. Number 2: E -32.2 eV for the cell shown, spin magnetization 0.0 Bohr magnetons per cell. Number 3: E -30.2 eV for the cell shown, spin magnetization 0.0 Bohr magnetons per cell. Number 4: E -22.0 eV for the cell shown, spin magnetization 0.6 Bohr magnetons per cell. Number 5: E -24.2 eV for the cell shown, spin magnetization 0.1 Bohr magnetons per cell. Number 6: E -26.8 eV for the cell shown, spin magnetization 3.3 Bohr magnetons per cell. Number 7: E -31.7 eV for the cell shown, spin magnetization 1.3 Bohr magnetons per cell. Number 8: E -149.0 eV for the cell shown, spin magnetization 1.9 Bohr magnetons per cell. Number 9: E -40.2 eV for the cell shown, spin magnetization 2.3 Bohr magnetons per cell. Number 10: E -42.2 eV for the cell shown, spin magnetization 2.7 Bohr magnetons per cell. Number 11: E -34.5 eV for the cell shown, spin magnetization 0.9 Bohr magnetons per cell. Number 12: E -38.4 eV for the cell shown, spin magnetization 4.4 Bohr magnetons per cell. Number 13: E -37.4 eV for the cell shown, spin magnetization 0.0 Bohr magnetons per cell. Number 14: E -32.6 eV for the cell shown, spin magnetization 0.0 Bohr magnetons per cell. Number 15: E -23.7 eV for the cell shown, spin magnetization 0.0 Bohr magnetons per cell.